[1]
# Fe3PtBr | Alexandria via LeMat-Bulk | GGA-PBE | optimized geometry
# Energy relative to the lowest polymorph listed for this composition ... 0.1381 eV/atom
# Space-group type ... Pm-3m
data_Fe3PtBr
_chemical_formula_sum 'Fe3 Pt1 Br1'
_cell_length_a 4.328
_cell_length_b 4.328
_cell_length_c 4.328
_cell_angle_alpha 90.00
_cell_angle_beta 90.00
_cell_angle_gamma 90.00
_space_group_name_H-M_alt 'P 1'
_space_group_IT_number 1
_space_group_name_Hall 'P 1'
loop_
_atom_site_label
_atom_site_fract_x
_atom_site_fract_y
_atom_site_fract_z
Br1 0.000 0.000 0.000
Fe1 0.500 0.000 0.000
Fe2 0.000 0.000 0.500
Pt1 0.500 0.500 0.500
Fe3 0.000 0.500 0.000

---

[2]
# Ac2WN4 | Alexandria via LeMat-Bulk | GGA-PBE | optimized geometry
# Energy relative to the lowest polymorph listed for this composition ... 0.1014 eV/atom
# Space-group type ... I4/mmm
data_Ac2WN4
_chemical_formula_sum 'Ac2 W1 N4'
_cell_length_a 4.055
_cell_length_b 4.055
_cell_length_c 7.226
_cell_angle_alpha 106.29
_cell_angle_beta 106.29
_cell_angle_gamma 90.00
_space_group_name_H-M_alt 'P 1'
_space_group_IT_number 1
_space_group_name_Hall 'P 1'
loop_
_atom_site_label
_atom_site_fract_x
_atom_site_fract_y
_atom_site_fract_z
W1 0.000 0.000 0.000
N1 0.500 0.000 0.000
N2 0.000 0.500 0.000
N3 0.158 0.158 0.316
N4 0.842 0.842 0.684
Ac1 0.356 0.356 0.712
Ac2 0.644 0.644 0.288

---

[3]
# SrInBr3 | Alexandria via LeMat-Bulk | GGA-PBE | optimized geometry
# Total DFT energy (no corrections) ... -16.50 eV per cell
# Space-group type ... Pm-3m
data_SrInBr3
_chemical_formula_sum 'Sr1 In1 Br3'
_cell_length_a 5.956
_cell_length_b 5.956
_cell_length_c 5.956
_cell_angle_alpha 90.00
_cell_angle_beta 90.00
_cell_angle_gamma 90.00
_space_group_name_H-M_alt 'P 1'
_space_group_IT_number 1
_space_group_name_Hall 'P 1'
loop_
_atom_site_label
_atom_site_fract_x
_atom_site_fract_y
_atom_site_fract_z
Br1 0.500 0.000 0.000
In1 0.500 0.500 0.500
Sr1 0.000 0.000 0.000
Br2 0.000 0.500 0.000
Br3 0.000 0.000 0.500

---

[4]
# MgBeAgPt | Alexandria via LeMat-Bulk | GGA-PBE | optimized geometry
# Total DFT energy (no corrections) ... -15.56 eV per cell
# Space-group type ... F-43m
data_MgBeAgPt
_chemical_formula_sum 'Mg1 Be1 Ag1 Pt1'
_cell_length_a 4.348
_cell_length_b 4.348
_cell_length_c 4.348
_cell_angle_alpha 60.00
_cell_angle_beta 60.00
_cell_angle_gamma 60.00
_space_group_name_H-M_alt 'P 1'
_space_group_IT_number 1
_space_group_name_Hall 'P 1'
loop_
_atom_site_label
_atom_site_fract_x
_atom_site_fract_y
_atom_site_fract_z
Be1 0.000 0.000 0.000
Ag1 0.250 0.250 0.250
Pt1 0.750 0.750 0.750
Mg1 0.500 0.500 0.500

---

[5]
# Al2SiSbRu | Alexandria via LeMat-Bulk | GGA-PBE | optimized geometry
# Total DFT energy (no corrections) ... -17.94 eV per cell
# Space-group type ... P4/mmm
data_Al2SiSbRu
_chemical_formula_sum 'Al2 Si1 Sb1 Ru1'
_cell_length_a 5.084
_cell_length_b 5.161
_cell_length_c 5.084
_cell_angle_alpha 90.00
_cell_angle_beta 90.00
_cell_angle_gamma 90.00
_space_group_name_H-M_alt 'P 1'
_space_group_IT_number 1
_space_group_name_Hall 'P 1'
loop_
_atom_site_label
_atom_site_fract_x
_atom_site_fract_y
_atom_site_fract_z
Si1 0.000 0.500 0.000
Al1 0.500 0.000 0.000
Sb1 0.000 0.000 0.000
Ru1 0.500 0.500 0.500
Al2 0.000 0.000 0.500

---

[6]
# CuIrS2 | Alexandria via LeMat-Bulk | GGA-PBE | optimized geometry
# Total DFT energy (no corrections) ... -170.73 eV per cell
# Space-group type ... C2/c
data_CuIrS2
_chemical_formula_sum 'Cu8 Ir8 S16'
_cell_length_a 14.852
_cell_length_b 7.266
_cell_length_c 7.266
_cell_angle_alpha 109.07
_cell_angle_beta 122.12
_cell_angle_gamma 57.88
_space_group_name_H-M_alt 'P 1'
_space_group_IT_number 1
_space_group_name_Hall 'P 1'
loop_
_atom_site_label
_atom_site_fract_x
_atom_site_fract_y
_atom_site_fract_z
S1 0.033 0.227 0.354
S2 0.467 0.854 0.727
Cu1 0.542 0.336 0.593
S3 0.539 0.646 0.216
S4 0.811 0.236 0.315
Ir1 0.843 0.875 0.797
S5 0.967 0.773 0.646
S6 0.250 0.759 0.259
Ir2 0.830 0.890 0.305
Ir3 0.343 0.703 0.625
Cu2 0.172 0.538 0.360
S7 0.250 0.343 0.843
Ir4 0.670 0.805 0.390
Cu3 0.828 0.462 0.640
S8 0.689 0.815 0.736
S9 0.461 0.354 0.784
S10 0.533 0.146 0.273
Ir5 0.157 0.125 0.203
S11 0.750 0.241 0.741
S12 0.750 0.657 0.157
S13 0.961 0.716 0.146
Cu4 0.672 0.140 0.962
S14 0.189 0.764 0.685
Ir6 0.170 0.110 0.695
Cu5 0.458 0.664 0.407
Cu6 0.328 0.860 0.038
Ir7 0.330 0.195 0.610
Cu7 0.042 0.907 0.164
Cu8 0.958 0.093 0.836
Ir8 0.657 0.297 0.375
S15 0.039 0.284 0.854
S16 0.311 0.185 0.264

---

[7]
# NaSr4Ir | Alexandria via LeMat-Bulk | GGA-PBE | optimized geometry
# Energy relative to the lowest polymorph listed for this composition ... 0.0506 eV/atom
# Space-group type ... C2/c
data_NaSr4Ir
_chemical_formula_sum 'Na2 Sr8 Ir2'
_cell_length_a 7.508
_cell_length_b 9.396
_cell_length_c 9.735
_cell_angle_alpha 113.40
_cell_angle_beta 106.18
_cell_angle_gamma 102.80
_space_group_name_H-M_alt 'P 1'
_space_group_IT_number 1
_space_group_name_Hall 'P 1'
loop_
_atom_site_label
_atom_site_fract_x
_atom_site_fract_y
_atom_site_fract_z
Ir1 0.171 0.921 0.841
Sr1 0.465 0.767 0.900
Na1 0.649 0.399 0.799
Sr2 0.275 0.948 0.589
Na2 0.351 0.601 0.201
Sr3 0.814 0.641 0.589
Sr4 0.186 0.359 0.411
Sr5 0.065 0.867 0.100
Ir2 0.829 0.079 0.159
Sr6 0.725 0.052 0.411
Sr7 0.535 0.233 0.100
Sr8 0.935 0.133 0.900

---

[8]
# La6DyMg | Alexandria via LeMat-Bulk | GGA-PBE | optimized geometry
# Energy relative to the lowest polymorph listed for this composition ... 0.0000 eV/atom
# Space-group type ... P4/mmm
data_La6DyMg
_chemical_formula_sum 'La6 Dy1 Mg1'
_cell_length_a 5.168
_cell_length_b 5.168
_cell_length_c 10.341
_cell_angle_alpha 90.00
_cell_angle_beta 90.00
_cell_angle_gamma 90.00
_space_group_name_H-M_alt 'P 1'
_space_group_IT_number 1
_space_group_name_Hall 'P 1'
loop_
_atom_site_label
_atom_site_fract_x
_atom_site_fract_y
_atom_site_fract_z
La1 0.500 0.000 0.751
Dy1 0.000 0.000 0.500
La2 0.500 0.500 0.500
La3 0.500 0.000 0.249
La4 0.000 0.500 0.751
La5 0.500 0.500 0.000
Mg1 0.000 0.000 0.000
La6 0.000 0.500 0.249

---

[9]
# TcNi2PdCl | Alexandria via LeMat-Bulk | GGA-PBE | optimized geometry
# Total DFT energy (no corrections) ... -22.62 eV per cell
# Space-group type ... P4/mmm
data_TcNi2PdCl
_chemical_formula_sum 'Tc1 Ni2 Pd1 Cl1'
_cell_length_a 4.495
_cell_length_b 4.906
_cell_length_c 4.495
_cell_angle_alpha 90.00
_cell_angle_beta 90.00
_cell_angle_gamma 90.00
_space_group_name_H-M_alt 'P 1'
_space_group_IT_number 1
_space_group_name_Hall 'P 1'
loop_
_atom_site_label
_atom_site_fract_x
_atom_site_fract_y
_atom_site_fract_z
Cl1 0.500 0.500 0.500
Ni1 0.000 0.000 0.500
Tc1 0.000 0.000 0.000
Ni2 0.500 0.000 0.000
Pd1 0.000 0.500 0.000

---

[10]
# NaTm2Sn3Te6 | Alexandria via LeMat-Bulk | GGA-PBE | optimized geometry
# Total DFT energy (no corrections) ... -49.57 eV per cell
# Space-group type ... C2/m
data_NaTm2Sn3Te6
_chemical_formula_sum 'Na1 Tm2 Sn3 Te6'
_cell_length_a 4.405
_cell_length_b 9.167
_cell_length_c 10.061
_cell_angle_alpha 103.96
_cell_angle_beta 102.64
_cell_angle_gamma 90.00
_space_group_name_H-M_alt 'P 1'
_space_group_IT_number 1
_space_group_name_Hall 'P 1'
loop_
_atom_site_label
_atom_site_fract_x
_atom_site_fract_y
_atom_site_fract_z
Te1 0.992 0.744 0.983
Te2 0.326 0.893 0.651
Na1 0.500 0.000 0.000
Sn1 0.159 0.845 0.317
Te3 0.674 0.107 0.349
Tm1 0.833 0.659 0.665
Te4 0.008 0.256 0.017
Sn2 0.841 0.155 0.683
Sn3 0.500 0.500 0.000
Te5 0.670 0.579 0.340
Te6 0.330 0.421 0.660
Tm2 0.167 0.341 0.335

---

[11]
# TiNi2Sn | Alexandria via LeMat-Bulk | GGA-PBE | optimized geometry
# Total DFT energy (no corrections) ... -46.16 eV per cell
# Space-group type ... I-42d
data_TiNi2Sn
_chemical_formula_sum 'Ti2 Ni4 Sn2'
_cell_length_a 3.932
_cell_length_b 3.932
_cell_length_c 8.929
_cell_angle_alpha 77.28
_cell_angle_beta 77.28
_cell_angle_gamma 90.00
_space_group_name_H-M_alt 'P 1'
_space_group_IT_number 1
_space_group_name_Hall 'P 1'
loop_
_atom_site_label
_atom_site_fract_x
_atom_site_fract_y
_atom_site_fract_z
Ni1 0.875 0.859 0.750
Ni2 0.375 0.391 0.750
Sn1 0.000 0.000 0.000
Ti1 0.500 0.500 0.000
Ni3 0.609 0.125 0.250
Ti2 0.250 0.750 0.500
Ni4 0.141 0.625 0.250
Sn2 0.750 0.250 0.500

---

[12]
# HgGeBi | Alexandria via LeMat-Bulk | GGA-PBE | optimized geometry
# Energy relative to the lowest polymorph listed for this composition ... 0.0391 eV/atom
# Space-group type ... P-1
data_HgGeBi
_chemical_formula_sum 'Hg2 Ge2 Bi2'
_cell_length_a 4.229
_cell_length_b 6.273
_cell_length_c 6.830
_cell_angle_alpha 78.48
_cell_angle_beta 73.11
_cell_angle_gamma 72.57
_space_group_name_H-M_alt 'P 1'
_space_group_IT_number 1
_space_group_name_Hall 'P 1'
loop_
_atom_site_label
_atom_site_fract_x
_atom_site_fract_y
_atom_site_fract_z
Hg1 0.880 0.267 0.468
Hg2 0.120 0.733 0.532
Bi1 0.791 0.815 0.140
Ge1 0.512 0.325 0.148
Ge2 0.488 0.675 0.852
Bi2 0.209 0.185 0.860

---

In order of appearance, total magnetic moment = 7.001 0.000 0.000 0.000 1.979 0.000 0.000 0.000 0.000 0.000 0.000 0.000 μB/f.u..